# 1
# AcPrAlGa PBE-GGA relaxed
data_AcPrAlGa
_space_group_name_H-M_alt 'A m m 2'
_space_group_IT_number 38
_space_group_name_Hall 'A 2 -2'
_cell_length_a 4.319
_cell_length_b 4.620
_cell_length_c 11.894
_cell_angle_alpha 90.00
_cell_angle_beta 90.00
_cell_angle_gamma 90.00
loop_
_atom_site_label
_atom_site_type_symbol
_atom_site_fract_x
_atom_site_fract_y
_atom_site_fract_z
Ac1 Ac 0.000 0.000 0.000
Pr1 Pr 0.500 0.000 0.717
Al1 Al 0.000 0.000 0.287
Ga1 Ga 0.500 0.000 0.416
# DOS(E_F): 7.59 states/eV/cell
# Total DFT energy (no corrections): -34.8 eV per cell
# Energy above the most stable polymorph in this dataset: 0 meV/atom

---

# 2
# AcAlGaPt2 PBE-GGA relaxed
data_AcAlGaPt2
_space_group_name_H-M_alt 'I -4 m 2'
_space_group_IT_number 119
_space_group_name_Hall 'I -4 -2'
_cell_length_a 4.297
_cell_length_b 4.297
_cell_length_c 11.353
_cell_angle_alpha 90.00
_cell_angle_beta 90.00
_cell_angle_gamma 90.00
loop_
_atom_site_label
_atom_site_type_symbol
_atom_site_fract_x
_atom_site_fract_y
_atom_site_fract_z
Ac1 Ac 0.000 0.000 0.000
Al1 Al 0.000 0.500 0.750
Ga1 Ga 0.000 0.500 0.250
Pt1 Pt 0.000 0.000 0.374
# DOS(E_F): 6.99 states/eV/cell
# Total DFT energy (no corrections): -56.2 eV per cell

---

# 3
# Ac2AlGa3Pt4 PBE-GGA relaxed
data_Ac2AlGa3Pt4
_space_group_name_H-M_alt 'P -4 m 2'
_space_group_IT_number 115
_space_group_name_Hall 'P -4 -2'
_cell_length_a 4.428
_cell_length_b 4.428
_cell_length_c 10.567
_cell_angle_alpha 90.00
_cell_angle_beta 90.00
_cell_angle_gamma 90.00
loop_
_atom_site_label
_atom_site_type_symbol
_atom_site_fract_x
_atom_site_fract_y
_atom_site_fract_z
Ac1 Ac 0.000 0.500 0.250
Al1 Al 0.000 0.000 0.500
Ga1 Ga 0.000 0.500 0.875
Ga2 Ga 0.500 0.500 0.500
Pt1 Pt 0.000 0.000 0.000
Pt2 Pt 0.000 0.500 0.628
Pt3 Pt 0.500 0.500 0.000
# DOS(E_F): 9.58 states/eV/cell
# Total DFT energy (no corrections): -55.2 eV per cell

---

Q: Which value of DOS(E_F) does entry 3 give?
A: 9.58 states/eV/cell

---

Q: Which of these has the lowest DOS(E_F)?
A: AcAlGaPt2

---

Q: What is the formula in the first record?
A: AcPrAlGa